(1)
DFT (PBE-GGA) results for an optimized crystal structure of Ni2PBr. Values from VASP.

```
&SYSTEM
  ibrav = 0, nat = 4, ntyp = 3
/
ATOMIC_SPECIES
Br 79.90 Br.upf
Ni 58.69 Ni.upf
P 30.97 P.upf
CELL_PARAMETERS angstrom
-1.9995 -1.3205 1.8831
2.2543 -1.6199 1.2578
0.9548 4.6452 4.2713
ATOMIC_POSITIONS angstrom
Br 0.6048 0.8524 3.7061
Ni 0.7765 3.7780 3.4739
Ni 0.1782 0.8672 0.7974
P 0.1274 -1.4702 1.5704
```

Results
Its density is 6.4 g/cm3. Its energy relative to the elements, uncorrected is 0.84 eV/f.u. The energy above the most stable polymorph in this dataset comes out at 475 meV/atom. Its space-group type is P4/mmm, No. 123.

(2)
DFT (PBE-GGA) results for an optimized crystal structure of InSnTe2. Values from VASP.

```
&SYSTEM
  ibrav = 0, nat = 8, ntyp = 3
/
ATOMIC_SPECIES
Te 127.60 Te.upf
Sn 118.71 Sn.upf
In 114.82 In.upf
CELL_PARAMETERS angstrom
-1.0428 7.4041 -2.6984
2.5976 -2.2469 -7.1689
-3.5579 1.5168 -6.1718
ATOMIC_POSITIONS angstrom
Te -1.3126 5.6542 -13.2499
Te -2.0807 3.0675 -8.3419
Te 0.6018 -0.0863 -6.3657
Te -1.2146 4.7126 -4.1207
Sn -1.9116 5.7498 -6.9019
Sn 0.0000 0.0000 0.0000
In -0.0914 0.9243 -9.1372
In 0.7774 2.5786 -4.9337
```

Results
Its density is 5.5 g/cm3. Its energy relative to the elements, uncorrected is -0.47 eV/f.u. Its space-group type is I-42d, No. 122.

(3)
DFT (PBE-GGA) results for an optimized crystal structure of KIn2Rh. Values from VASP.

```
&SYSTEM
  ibrav = 0, nat = 4, ntyp = 3
/
ATOMIC_SPECIES
In 114.82 In.upf
Rh 102.91 Rh.upf
K 39.10 K.upf
CELL_PARAMETERS angstrom
3.3009 0.0040 0.0000
-0.0041 3.3009 0.0000
0.0000 0.0000 8.9058
ATOMIC_POSITIONS angstrom
In 0.0000 0.0000 5.0458
In 0.0000 0.0000 8.3129
Rh 1.6484 1.6525 6.6794
K 1.6484 1.6525 2.2265
```

Results
Its density is 6.4 g/cm3. Its space-group type is P4/mmm, No. 123. The formation energy comes out at -157 meV/atom.

(4)
DFT (PBE-GGA) results for an optimized crystal structure of Mn2Ir2Os. Values from VASP.

```
&SYSTEM
  ibrav = 0, nat = 10, ntyp = 3
/
ATOMIC_SPECIES
Os 190.23 Os.upf
Mn 54.94 Mn.upf
Ir 192.22 Ir.upf
CELL_PARAMETERS angstrom
-5.2957 2.5025 -4.0540
-1.7618 -6.6604 -1.8099
-1.6553 -0.1282 2.0832
ATOMIC_POSITIONS angstrom
Os -3.5288 -2.0790 -2.9319
Os 0.0000 0.0000 0.0000
Mn -5.8107 -0.1887 -2.9256
Mn -2.9021 -4.0975 -0.8551
Mn -5.8350 -3.9237 -3.1748
Mn -2.8779 -0.3625 -0.6059
Ir -3.4986 -4.8725 -3.0799
Ir -3.5589 0.7145 -2.7839
Ir -5.7204 -2.0106 -4.6692
Ir -1.3371 -2.1474 -1.1946
```

Results
Its density is 16.8 g/cm3. The energy above the most stable polymorph in this dataset comes out at 41 meV/atom. Its space-group type is P4/mbm, No. 127. The formation energy comes out at 206 meV/atom.

(5)
DFT (PBE-GGA) results for an optimized crystal structure of TbPr4Y2Ho2. Values from VASP.

```
&SYSTEM
  ibrav = 0, nat = 9, ntyp = 4
/
ATOMIC_SPECIES
Tb 158.93 Tb.upf
Ho 164.93 Ho.upf
Y 88.91 Y.upf
Pr 140.91 Pr.upf
CELL_PARAMETERS angstrom
5.1258 0.0000 0.0000
-2.5629 7.6955 0.0191
0.0000 -2.5715 7.6749
ATOMIC_POSITIONS angstrom
Tb 0.0000 0.0000 0.0000
Ho 0.0000 5.1163 0.0133
Ho 2.5629 0.0078 7.6807
Y 2.5629 5.1295 2.5472
Y 0.0000 -0.0055 5.1468
Pr 0.0000 5.1378 5.1641
Pr 2.5629 2.5528 5.1482
Pr 0.0000 2.5712 2.5458
Pr 2.5629 -0.0138 2.5299
```

Results
Its density is 6.7 g/cm3. Its space-group type is C2/m, No. 12. The formation energy comes out at 20 meV/atom.

(6)
DFT (PBE-GGA) results for an optimized crystal structure of NaDy2PaSb4. Values from VASP.

```
&SYSTEM
  ibrav = 0, nat = 8, ntyp = 4
/
ATOMIC_SPECIES
Na 22.99 Na.upf
Sb 121.76 Sb.upf
Pa 231.04 Pa.upf
Dy 162.50 Dy.upf
CELL_PARAMETERS angstrom
4.4254 0.0000 0.0000
0.0000 7.5479 0.1719
0.0000 -2.6125 7.1820
ATOMIC_POSITIONS angstrom
Na 2.2127 3.7739 0.0859
Sb 0.0000 5.0950 1.9406
Sb 2.2127 3.7247 5.5360
Sb 2.2127 1.2106 1.8179
Sb 0.0000 -0.1596 5.4133
Pa 0.0000 0.0000 0.0000
Dy 2.2127 -1.3063 3.5910
Dy 0.0000 2.4677 3.6769
```

Results
Its density is 7.3 g/cm3. Its energy relative to the elements, uncorrected is -5.72 eV/f.u. Its space-group type is P2/m, No. 10.